Computed, not measured: a geometry-optimized NpNiB2O8 structure at the PBE+U level of DFT.

The structure in POSCAR format:
```
NpNiB2O8
1.0
5.1367 0.0000 0.0000
-2.5684 4.4486 0.0000
0.0000 0.0000 5.9345
B Ni O Np
2 1 8 1
Direct
0.6667 0.3333 0.3097
0.3333 0.6667 0.6903
0.0000 0.0000 0.5000
0.6667 0.3333 0.5457
0.3333 0.6667 0.4543
0.8255 0.1745 0.2262
0.1745 0.3491 0.7738
0.1745 0.8255 0.7738
0.6509 0.8255 0.7738
0.3491 0.1745 0.2262
0.8255 0.6509 0.2262
0.0000 0.0000 0.0000
```

## Properties
As for the calculated total energy: -7.410 eV/atom. The value obtained for the density is 5.45 g/cm³. Its magnetization is 0.338 μB/atom.